1.
A geometry-optimized BeNiI2 structure, computed with PBE.

CIF file:
```
data_BeNiI2
_chemical_formula_sum 'Be4 Ni4 I8'
_cell_length_a 6.997
_cell_length_b 6.997
_cell_length_c 6.997
_cell_angle_alpha 90.00
_cell_angle_beta 90.00
_cell_angle_gamma 90.00
_space_group_name_H-M_alt 'F m -3 m'
_space_group_IT_number 225
_space_group_name_Hall '-F 4 2 3'
loop_
_atom_site_label
_atom_site_type_symbol
_atom_site_fract_x
_atom_site_fract_y
_atom_site_fract_z
Be1 Be 0.000 0.000 0.000
Ni1 Ni 0.000 0.000 0.500
I1 I 0.250 0.250 0.250
```

Energy relative to the lowest polymorph listed for this composition ... 75.2 kJ/mol of atoms

2.
A geometry-optimized BeNi2I structure, computed with PBE.

CIF file:
```
data_BeNi2I
_chemical_formula_sum 'Be4 Ni8 I4'
_cell_length_a 6.075
_cell_length_b 6.075
_cell_length_c 6.075
_cell_angle_alpha 90.00
_cell_angle_beta 90.00
_cell_angle_gamma 90.00
_space_group_name_H-M_alt 'F m -3 m'
_space_group_IT_number 225
_space_group_name_Hall '-F 4 2 3'
loop_
_atom_site_label
_atom_site_type_symbol
_atom_site_fract_x
_atom_site_fract_y
_atom_site_fract_z
Be1 Be 0.000 0.000 0.000
Ni1 Ni 0.250 0.250 0.250
I1 I 0.000 0.000 0.500
```

Energy relative to the lowest polymorph listed for this composition ... 10.8 kJ/mol of atoms

3.
A geometry-optimized BeNi3I structure, computed with PBE.

CIF file:
```
data_BeNi3I
_chemical_formula_sum 'Be1 Ni3 I1'
_cell_length_a 4.595
_cell_length_b 4.595
_cell_length_c 4.595
_cell_angle_alpha 90.00
_cell_angle_beta 90.00
_cell_angle_gamma 90.00
_space_group_name_H-M_alt 'P m -3 m'
_space_group_IT_number 221
_space_group_name_Hall '-P 4 2 3'
loop_
_atom_site_label
_atom_site_type_symbol
_atom_site_fract_x
_atom_site_fract_y
_atom_site_fract_z
Be1 Be 0.000 0.000 0.000
Ni1 Ni 0.000 0.500 0.500
I1 I 0.500 0.500 0.500
```

Energy relative to the lowest polymorph listed for this composition ... 86.4 kJ/mol of atoms

4.
A geometry-optimized Be2NiI6 structure, computed with PBE.

CIF file:
```
data_Be2NiI6
_chemical_formula_sum 'Be8 Ni4 I24'
_cell_length_a 16.142
_cell_length_b 15.608
_cell_length_c 6.816
_cell_angle_alpha 90.00
_cell_angle_beta 114.08
_cell_angle_gamma 90.00
_space_group_name_H-M_alt 'C 1 2/c 1'
_space_group_IT_number 15
_space_group_name_Hall '-C 2yc'
loop_
_atom_site_label
_atom_site_type_symbol
_atom_site_fract_x
_atom_site_fract_y
_atom_site_fract_z
Be1 Be 0.069 0.076 0.131
Ni1 Ni 0.000 0.500 0.250
I1 I 0.093 0.415 0.589
I2 I 0.104 0.067 0.526
I3 I 0.132 0.196 0.069
```

5.
A geometry-optimized Be2NiI8 structure, computed with PBE.

CIF file:
```
data_Be2NiI8
_chemical_formula_sum 'Be4 Ni2 I16'
_cell_length_a 14.375
_cell_length_b 9.033
_cell_length_c 6.643
_cell_angle_alpha 90.00
_cell_angle_beta 94.38
_cell_angle_gamma 90.00
_space_group_name_H-M_alt 'C 1 2/m 1'
_space_group_IT_number 12
_space_group_name_Hall '-C 2y'
loop_
_atom_site_label
_atom_site_type_symbol
_atom_site_fract_x
_atom_site_fract_y
_atom_site_fract_z
Be1 Be 0.157 0.000 0.431
Ni1 Ni 0.000 0.000 0.000
I1 I 0.079 0.201 0.245
I2 I 0.155 0.000 0.795
I3 I 0.179 0.500 0.579
```

6.
A geometry-optimized BeNiI3 structure, computed with PBE.

CIF file:
```
data_BeNiI3
_chemical_formula_sum 'Be1 Ni1 I3'
_cell_length_a 5.286
_cell_length_b 5.286
_cell_length_c 5.286
_cell_angle_alpha 90.00
_cell_angle_beta 90.00
_cell_angle_gamma 90.00
_space_group_name_H-M_alt 'P m -3 m'
_space_group_IT_number 221
_space_group_name_Hall '-P 4 2 3'
loop_
_atom_site_label
_atom_site_type_symbol
_atom_site_fract_x
_atom_site_fract_y
_atom_site_fract_z
Be1 Be 0.000 0.000 0.000
Ni1 Ni 0.500 0.500 0.500
I1 I 0.000 0.000 0.500
```

Energy relative to the lowest polymorph listed for this composition ... 0.0 kJ/mol of atoms

Results for total energy: -8.91 -14.34 -15.74 -25.14 -28.74 -10.88 (in eV/f.u., following the order of the records).
Results for formation energy from raw total energies: 0.93 0.62 1.38 -0.29 -0.28 0.66 (in eV/atom, following the order of the records).
Results for total magnetization: 0.6 0.0 0.0 2.0 0.0 1.2 (in μB per formula unit, following the order of the records).